[1]
Computed, not measured: crystalline NbPtPbS2 at its relaxed geometry at the PBE-GGA level of DFT.

Cell and atoms, written as extended XYZ:
```
5
Lattice="4.955 0.000 0.000 0.000 4.955 0.000 0.000 0.000 5.592" Properties=species:S:1:pos:R:3 pbc="T T T"
Nb 0.000 0.000 0.000
Pt 2.478 2.478 0.000
Pb 0.000 0.000 2.796
S 0.000 2.478 2.796
S 2.478 0.000 2.796
```

Calculated values
For the density of states at the Fermi level, the calculation gives 7.2 states/eV/f.u. Its total energy is -3.9247 eV/atom. For the uncorrected formation energy, the calculation gives 1.6901 eV per atom. As for the space group: P4/mmm, No. 123.



[2]
Computed, not measured: crystalline Nb2TcPtPb at its relaxed geometry at the PBE-GGA level of DFT.

Cell and atoms, written as extended XYZ:
```
5
Lattice="4.764 0.000 0.000 0.000 4.764 0.000 0.000 0.000 5.122" Properties=species:S:1:pos:R:3 pbc="T T T"
Nb 0.000 2.382 0.000
Nb 2.382 0.000 0.000
Tc 0.000 0.000 0.000
Pt 2.382 2.382 2.561
Pb 0.000 0.000 2.561
```

Calculated values
For the density of states at the Fermi level, the calculation gives 6.3 states/eV/f.u. Its total energy is -6.9886 eV/atom. As for the space group: P4/mmm, No. 123.



[3]
Computed, not measured: crystalline YNbPt2Pb at its relaxed geometry at the PBE-GGA level of DFT.

Cell and atoms, written as extended XYZ:
```
5
Lattice="5.113 0.000 0.000 0.000 5.113 0.000 0.000 0.000 5.184" Properties=species:S:1:pos:R:3 pbc="T T T"
Y 0.000 0.000 0.000
Nb 0.000 0.000 2.592
Pt 0.000 2.556 0.000
Pt 2.556 0.000 0.000
Pb 2.556 2.556 2.592
```

Calculated values
For the density of states at the Fermi level, the calculation gives 3.4 states/eV/f.u. Its total energy is -5.4033 eV/atom. As for the space group: P4/mmm, No. 123.